Entry 1:
Below is a geometry-optimized CrSiAs2 structure, with properties calculated at the GGA-PBE level.

a b c (Å): 2.822 2.822 8.685
angles (deg): 90.00 90.00 89.97
Positions (direct):
As (0.000, 0.000, 0.446)
As (0.000, 0.000, 0.054)
Cr (0.500, 0.500, 0.250)
Si (0.500, 0.500, 0.750)

Results
The value obtained for the volume is 69.2 Å³ per cell. The space group is P4/mmm, No. 123. The total moment is 1.99 Bohr magnetons per cell. The calculation puts the energy relative to the elements, uncorrected at 0.362 eV/atom. The electronic total energy comes out at -22.90 eV per cell.

---

Entry 2:
Below is a geometry-optimized Cr2SiAs structure, with properties calculated at the GGA-PBE level.

a b c (Å): 2.605 2.605 9.145
angles (deg): 90.00 90.00 107.24
Positions (direct):
As (0.500, 0.500, 0.805)
Cr (0.000, 0.000, 0.024)
Cr (0.500, 0.500, 0.230)
Si (0.000, 0.000, 0.441)

Results
The value obtained for the volume is 59.2 Å³ per cell. The space group is Cmm2, No. 35. The total moment is 0.00 Bohr magnetons per cell. The calculation puts the energy relative to the elements, uncorrected at 0.238 eV/atom. The electronic total energy comes out at -28.37 eV per cell.

---

Entry 3:
Below is a geometry-optimized CrSiAs2 structure, with properties calculated at the GGA-PBE level.

a b c (Å): 4.881 4.881 4.881
angles (deg): 137.11 122.87 74.01
Positions (direct):
As (0.024, 0.024, 0.000)
As (0.476, 0.476, 0.000)
Cr (0.750, 0.250, 0.500)
Si (0.250, 0.750, 0.500)

Results
The value obtained for the volume is 64.9 Å³ per cell. The space group is Immm, No. 71. The total moment is 2.48 Bohr magnetons per cell. The calculation puts the energy relative to the elements, uncorrected at 0.349 eV/atom. The electronic total energy comes out at -22.95 eV per cell.

---

Entry 4:
Below is a geometry-optimized CrSiAs4 structure, with properties calculated at the GGA-PBE level.

a b c (Å): 5.505 5.505 5.505
angles (deg): 60.00 60.00 60.00
Positions (direct):
As (0.625, 0.625, 0.125)
As (0.625, 0.625, 0.625)
As (0.125, 0.625, 0.625)
As (0.625, 0.125, 0.625)
Cr (0.250, 0.250, 0.250)
Si (0.000, 0.000, 0.000)

Results
The value obtained for the volume is 118.0 Å³ per cell. The space group is F-43m, No. 216. The total moment is 4.42 Bohr magnetons per cell. The calculation puts the energy relative to the elements, uncorrected at 0.702 eV/atom. The electronic total energy comes out at -29.43 eV per cell.

---

Entry 5:
Below is a geometry-optimized CrSi2As structure, with properties calculated at the GGA-PBE level.

a b c (Å): 4.318 4.318 4.763
angles (deg): 84.25 84.25 42.96
Positions (direct):
Si (0.525, 0.525, 0.432)
Si (0.975, 0.975, 0.068)
Cr (0.250, 0.250, 0.250)
As (0.750, 0.750, 0.750)

Results
The value obtained for the volume is 60.2 Å³ per cell. The space group is C2/m, No. 12. The total moment is 0.70 Bohr magnetons per cell. The calculation puts the energy relative to the elements, uncorrected at 0.273 eV/atom. The electronic total energy comes out at -24.03 eV per cell.

---

Entry 6:
Below is a geometry-optimized CrSiAs2 structure, with properties calculated at the GGA-PBE level.

a b c (Å): 6.515 6.515 3.736
angles (deg): 73.37 73.37 26.80
Positions (direct):
Si (0.250, 0.250, 0.250)
As (0.414, 0.414, 0.587)
As (0.086, 0.086, 0.913)
Cr (0.750, 0.750, 0.750)

Results
The value obtained for the volume is 68.3 Å³ per cell. The space group is Immm, No. 71. The total moment is 0.00 Bohr magnetons per cell. The calculation puts the energy relative to the elements, uncorrected at 0.133 eV/atom. The electronic total energy comes out at -23.81 eV per cell.

---

Q: What is the electronic total energy in the fifth record?
A: -24.03 eV per cell